--- w ---
Here is crystalline KHgAs2Se at its relaxed geometry from the Alexandria database. Energies are from GGA-PBE. Values from VASP.

```
&SYSTEM
  ibrav = 0, nat = 5, ntyp = 4
/
ATOMIC_SPECIES
Hg 200.59 Hg.upf
As 74.92 As.upf
Se 78.96 Se.upf
K 39.10 K.upf
ATOMIC_POSITIONS angstrom
Hg 2.903 2.903 2.875
As 0.000 2.903 0.000
Se 0.000 0.000 2.875
K 0.000 0.000 0.000
As 2.903 0.000 0.000
CELL_PARAMETERS angstrom
5.805 0.000 0.000
0.000 5.805 0.000
0.000 0.000 5.749
```

Values from the calculation:
* calculated density: 4.0 g cm⁻³
* SG: P4/mmm
* spin magnetization: 0.30 μB/atom

--- x ---
Here is crystalline KHgAs2Se at its relaxed geometry from the Alexandria database. Energies are from GGA-PBE. Values from VASP.

```
&SYSTEM
  ibrav = 0, nat = 5, ntyp = 4
/
ATOMIC_SPECIES
Hg 200.59 Hg.upf
K 39.10 K.upf
Se 78.96 Se.upf
As 74.92 As.upf
ATOMIC_POSITIONS angstrom
Hg 0.000 0.000 0.000
K 1.126 -3.483 2.903
Se 0.165 -2.712 -0.636
As -1.327 -0.599 2.214
As 2.288 -0.172 1.325
CELL_PARAMETERS angstrom
-2.653 -1.199 4.428
0.329 -5.425 -1.271
4.576 -0.343 2.650
```

Values from the calculation:
* calculated density: 5.0 g cm⁻³
* SG: P4/mmm
* spin magnetization: 0.31 μB/atom

Result of the stability comparison: w is the least stable of them.

--- w ---
Here is crystalline LaHg2As2 at its relaxed geometry from the Alexandria database. Energies are from GGA-PBE. Values from VASP.

```
&SYSTEM
  ibrav = 0, nat = 5, ntyp = 3
/
ATOMIC_SPECIES
Hg 200.59 Hg.upf
As 74.92 As.upf
La 138.91 La.upf
ATOMIC_POSITIONS angstrom
Hg 2.559 2.559 1.351
Hg 5.118 5.118 3.500
As 2.559 5.118 2.426
La 0.000 0.000 0.000
As 5.118 2.559 2.426
CELL_PARAMETERS angstrom
5.118 0.000 0.000
0.000 5.118 0.000
2.559 2.559 4.851
```

Values from the calculation:
* calculated density: 9.0 g cm⁻³
* SG: I4/mmm
* spin magnetization: 0.00 μB/atom

--- x ---
Here is crystalline LaHg2As2 at its relaxed geometry from the Alexandria database. Energies are from GGA-PBE. Values from VASP.

```
&SYSTEM
  ibrav = 0, nat = 5, ntyp = 3
/
ATOMIC_SPECIES
Hg 200.59 Hg.upf
As 74.92 As.upf
La 138.91 La.upf
ATOMIC_POSITIONS angstrom
Hg 4.158 2.079 4.038
As 4.158 4.158 6.845
As 2.079 2.079 1.231
La 0.000 0.000 0.000
Hg 2.079 4.158 4.038
CELL_PARAMETERS angstrom
4.158 0.000 0.000
0.000 4.158 0.000
2.079 2.079 8.076
```

Values from the calculation:
* calculated density: 8.2 g cm⁻³
* SG: I4/mmm
* spin magnetization: 0.00 μB/atom

Result of the stability comparison: w is the least stable of them.

--- w ---
Here is crystalline LaHgAs3 at its relaxed geometry from the Alexandria database. Energies are from GGA-PBE. Values from VASP.

```
&SYSTEM
  ibrav = 0, nat = 5, ntyp = 3
/
ATOMIC_SPECIES
Hg 200.59 Hg.upf
As 74.92 As.upf
La 138.91 La.upf
ATOMIC_POSITIONS angstrom
Hg 2.874 2.874 2.874
As 0.000 2.874 0.000
La 0.000 0.000 0.000
As 2.874 0.000 0.000
As 0.000 0.000 2.874
CELL_PARAMETERS angstrom
5.747 0.000 0.000
0.000 5.747 0.000
0.000 0.000 5.747
```

Values from the calculation:
* calculated density: 4.9 g cm⁻³
* SG: Pm-3m
* spin magnetization: 0.00 μB/atom

--- x ---
Here is crystalline LaHgAs3 at its relaxed geometry from the Alexandria database. Energies are from GGA-PBE. Values from VASP.

```
&SYSTEM
  ibrav = 0, nat = 5, ntyp = 3
/
ATOMIC_SPECIES
Hg 200.59 Hg.upf
As 74.92 As.upf
La 138.91 La.upf
ATOMIC_POSITIONS angstrom
Hg 0.000 0.000 0.000
As -2.267 0.607 1.077
As -1.073 -2.083 -1.084
La -2.725 -2.875 2.074
As 0.614 -1.399 2.081
CELL_PARAMETERS angstrom
-2.146 -4.166 -2.168
1.228 -2.798 4.162
-4.533 1.214 2.153
```

Values from the calculation:
* calculated density: 6.8 g cm⁻³
* SG: Pm-3m
* spin magnetization: 0.00 μB/atom

Result of the stability comparison: w is the least stable of them.

--- w ---
Here is crystalline La2HgAs at its relaxed geometry from the Alexandria database. Energies are from GGA-PBE. Values from VASP.

```
&SYSTEM
  ibrav = 0, nat = 4, ntyp = 3
/
ATOMIC_SPECIES
La 138.91 La.upf
As 74.92 As.upf
Hg 200.59 Hg.upf
ATOMIC_POSITIONS angstrom
La 5.196 1.347 0.812
As 11.399 2.955 1.782
Hg 17.880 4.634 2.795
La 0.463 0.120 0.072
CELL_PARAMETERS angstrom
8.491 -0.043 -0.026
7.401 4.162 -0.026
7.401 1.918 3.694
```

Values from the calculation:
* calculated density: 6.9 g cm⁻³
* SG: R3m
* spin magnetization: 0.33 μB/atom

--- x ---
Here is crystalline La2HgAs at its relaxed geometry from the Alexandria database. Energies are from GGA-PBE. Values from VASP.

```
&SYSTEM
  ibrav = 0, nat = 8, ntyp = 3
/
ATOMIC_SPECIES
La 138.91 La.upf
Hg 200.59 Hg.upf
As 74.92 As.upf
ATOMIC_POSITIONS angstrom
La 5.969 2.042 0.971
Hg 8.167 4.084 1.943
La 10.209 10.052 2.914
Hg 0.000 0.000 0.000
La 6.125 6.282 2.914
As 4.084 4.084 0.000
La 2.199 6.125 0.971
As 4.084 8.167 1.943
CELL_PARAMETERS angstrom
8.167 0.000 0.000
0.000 8.167 0.000
4.084 4.084 3.886
```

Values from the calculation:
* calculated density: 7.1 g cm⁻³
* SG: I-42d
* spin magnetization: 0.00 μB/atom

--- y ---
Here is crystalline La2HgAs at its relaxed geometry from the Alexandria database. Energies are from GGA-PBE. Values from VASP.

```
&SYSTEM
  ibrav = 0, nat = 4, ntyp = 3
/
ATOMIC_SPECIES
La 138.91 La.upf
Hg 200.59 Hg.upf
As 74.92 As.upf
ATOMIC_POSITIONS angstrom
La -1.239 3.474 7.152
La -4.013 3.277 3.940
Hg -2.024 1.597 1.853
As -6.072 4.791 5.558
CELL_PARAMETERS angstrom
-2.685 3.276 -0.760
-4.208 -0.445 0.783
-1.204 3.557 7.387
```

Values from the calculation:
* calculated density: 7.2 g cm⁻³
* SG: R-3m
* spin magnetization: 0.00 μB/atom

--- z ---
Here is crystalline La2HgAs at its relaxed geometry from the Alexandria database. Energies are from GGA-PBE. Values from VASP.

```
&SYSTEM
  ibrav = 0, nat = 4, ntyp = 3
/
ATOMIC_SPECIES
La 138.91 La.upf
Hg 200.59 Hg.upf
As 74.92 As.upf
ATOMIC_POSITIONS angstrom
La 1.624 2.751 1.585
Hg 3.195 -0.002 1.585
La 0.000 0.000 0.000
As 4.819 2.749 0.000
CELL_PARAMETERS angstrom
6.389 -0.004 0.000
3.248 5.502 0.000
-4.819 -2.749 3.170
```

Values from the calculation:
* calculated density: 8.2 g cm⁻³
* SG: I-4m2
* spin magnetization: 0.00 μB/atom

Result of the stability comparison: w is the least stable of them.

--- w ---
Here is crystalline La2HgAs at its relaxed geometry from the Alexandria database. Energies are from GGA-PBE. Values from VASP.

```
&SYSTEM
  ibrav = 0, nat = 4, ntyp = 3
/
ATOMIC_SPECIES
Hg 200.59 Hg.upf
La 138.91 La.upf
As 74.92 As.upf
ATOMIC_POSITIONS angstrom
Hg 0.974 -2.205 2.397
La 0.054 0.263 0.507
La 2.559 -4.827 7.241
As 1.673 -2.448 5.419
CELL_PARAMETERS angstrom
-0.457 -4.903 3.871
3.782 -4.021 2.961
0.182 2.780 3.544
```

Values from the calculation:
* calculated density: 7.9 g cm⁻³
* SG: Amm2
* spin magnetization: 0.18 μB/atom

--- x ---
Here is crystalline La2HgAs at its relaxed geometry from the Alexandria database. Energies are from GGA-PBE. Values from VASP.

```
&SYSTEM
  ibrav = 0, nat = 4, ntyp = 3
/
ATOMIC_SPECIES
La 138.91 La.upf
Hg 200.59 Hg.upf
As 74.92 As.upf
ATOMIC_POSITIONS angstrom
La 5.712 5.712 5.712
Hg 3.808 3.808 3.808
La 1.904 1.904 1.904
As 0.000 0.000 0.000
CELL_PARAMETERS angstrom
0.000 3.808 3.808
3.808 0.000 3.808
3.808 3.808 0.000
```

Values from the calculation:
* calculated density: 8.3 g cm⁻³
* SG: Fm-3m
* spin magnetization: 0.00 μB/atom

--- y ---
Here is crystalline La2HgAs at its relaxed geometry from the Alexandria database. Energies are from GGA-PBE. Values from VASP.

```
&SYSTEM
  ibrav = 0, nat = 4, ntyp = 3
/
ATOMIC_SPECIES
La 138.91 La.upf
As 74.92 As.upf
Hg 200.59 Hg.upf
ATOMIC_POSITIONS angstrom
La 0.000 0.000 3.469
La 0.000 0.000 0.171
As 1.955 1.946 1.820
Hg 1.955 1.946 5.460
CELL_PARAMETERS angstrom
3.901 -0.010 0.000
0.009 3.902 0.000
0.000 0.000 7.281
```

Values from the calculation:
* calculated density: 8.3 g cm⁻³
* SG: P4/mmm
* spin magnetization: 0.00 μB/atom

Result of the stability comparison: x is the least stable of them.

--- w ---
Here is crystalline La2HgAs at its relaxed geometry from the Alexandria database. Energies are from GGA-PBE. Values from VASP.

```
&SYSTEM
  ibrav = 0, nat = 4, ntyp = 3
/
ATOMIC_SPECIES
Hg 200.59 Hg.upf
As 74.92 As.upf
La 138.91 La.upf
ATOMIC_POSITIONS angstrom
Hg 4.248 2.453 4.050
As 6.372 3.679 8.064
La 2.124 1.226 6.327
La 2.124 1.226 1.745
CELL_PARAMETERS angstrom
4.248 0.000 0.000
2.124 3.679 0.000
2.124 1.226 8.075
```

Values from the calculation:
* calculated density: 7.3 g cm⁻³
* SG: R3m
* spin magnetization: 0.00 μB/atom

--- x ---
Here is crystalline La2HgAs at its relaxed geometry from the Alexandria database. Energies are from GGA-PBE. Values from VASP.

```
&SYSTEM
  ibrav = 0, nat = 4, ntyp = 3
/
ATOMIC_SPECIES
As 74.92 As.upf
La 138.91 La.upf
Hg 200.59 Hg.upf
ATOMIC_POSITIONS angstrom
As 5.337 3.081 2.179
La 0.000 0.000 0.000
Hg 8.005 4.622 3.268
La 2.668 1.541 1.089
CELL_PARAMETERS angstrom
5.337 0.000 0.000
2.668 4.622 0.000
2.668 1.541 4.357
```

Values from the calculation:
* calculated density: 8.5 g cm⁻³
* SG: F-43m
* spin magnetization: 0.00 μB/atom

Result of the stability comparison: x is the least stable of them.